The following is a DFT calculation (PBE-GGA) of crystalline Li2CdIO6 at its relaxed geometry.

```
Li2CdIO6
1.0
2.664 1.538 4.767
-2.664 1.538 4.767
0.000 -3.076 4.767
Li Cd I O
2 1 1 6
Direct
0.000 0.000 0.000
0.485 0.485 0.485
0.209 0.209 0.209
0.699 0.699 0.699
0.065 0.462 0.778
0.326 0.891 0.632
0.462 0.778 0.065
0.632 0.326 0.891
0.778 0.065 0.462
0.891 0.632 0.326
```

Calculated values
The value obtained for the magnetic moment is 1.07 μB/cell. For the energy relative to the elements, uncorrected, the calculation gives -0.941 eV per atom.